(1)
A plane-wave DFT calculation with PBE was carried out for a relaxed Li2Cd2Rh crystal.

```
10
Lattice="4.865 -2.249 0.000 4.865 2.249 0.000 -2.289 0.000 7.494" Properties=species:S:1:pos:R:3 pbc="T T T"
Li -0.431 0.000 2.626
Li 1.296 0.000 0.476
Li 6.144 0.000 7.019
Li 7.871 0.000 4.868
Cd 2.214 0.000 3.402
Cd 3.913 0.000 1.080
Cd 3.527 0.000 6.414
Cd 5.227 0.000 4.092
Rh 0.680 0.000 5.797
Rh 6.761 0.000 1.697
```

Output
- ΔE_f: -0.2143 eV/atom
- Symmetry: No. 12
- Distance to the lowest polymorph of the same formula: 0.015 eV per atom

---

(2)
A plane-wave DFT calculation with PBE was carried out for a relaxed KIr4Pt crystal.

```
6
Lattice="0.000 3.740 3.740 3.740 0.000 3.740 3.740 3.740 0.000" Properties=species:S:1:pos:R:3 pbc="T T T"
K 0.000 0.000 0.000
Ir 2.808 2.808 2.808
Ir 4.672 4.672 2.808
Ir 4.672 2.808 4.672
Ir 2.808 4.672 4.672
Pt 5.610 5.610 5.610
```

Output
- ΔE_f: 0.7430 eV/atom
- Symmetry: No. 216